Record 1
First-principles (GGA-PBE) data for crystalline CuW2Br at its relaxed geometry, as listed in the Alexandria database.

The structure in POSCAR format:
```
CuW2Br
1.0
3.258 0.000 0.000
0.000 4.656 0.000
-1.146 0.000 5.044
Cu W Br
1 2 1
direct
0.000 0.000 0.000 Cu
0.320 0.500 0.177 W
0.680 0.500 0.823 W
0.500 0.000 0.500 Br
```

Calculated values
- E: -7.02 eV per atom
- Formation energy from raw total energies: 0.894 eV per atom
- Excess energy over the best structure of this formula in the dataset: 367 meV per atom
- Total moment: 0.0 μB per cell

---

Record 2
First-principles (GGA-PBE) data for crystalline Cs2NaSrH at its relaxed geometry, as listed in the Alexandria database.

The structure in POSCAR format:
```
Cs2NaSrH
1.0
6.943 0.000 0.000
0.000 6.943 0.000
0.000 0.000 5.313
Cs Na Sr H
2 1 1 1
direct
0.000 0.500 0.000 Cs
0.500 0.000 0.000 Cs
0.000 0.000 0.500 Na
0.500 0.500 0.500 Sr
0.500 0.500 0.000 H
```

Calculated values
- E: -1.59 eV per atom
- Total moment: 0.0 μB per cell

---

Record 3
First-principles (GGA-PBE) data for crystalline ZrSbCl2 at its relaxed geometry, as listed in the Alexandria database.

The structure in POSCAR format:
```
ZrSbCl2
1.0
1.756 1.014 9.290
-1.756 1.014 9.290
0.000 -2.028 9.290
Zr Sb Cl
1 1 2
direct
0.000 0.000 0.000 Zr
0.746 0.746 0.746 Sb
0.273 0.273 0.273 Cl
0.487 0.487 0.487 Cl
```

Calculated values
- E: -4.87 eV per atom
- Formation energy from raw total energies: -0.783 eV per atom
- Excess energy over the best structure of this formula in the dataset: 292 meV per atom
- Total moment: 0.0 μB per cell